Entry 1:
A plane-wave DFT calculation with PBE was carried out for an optimized crystal structure of NbTcF2.

Summary:
calculated volume = 13.5 Å³/atom
VASP energy = -6.72 eV/atom

Unit cell a=8.436 b=8.436 c=8.436 alpha=18.72 beta=18.72 gamma=18.72
Fractional coordinates of all 4 atoms:
Tc 0.500 0.500 0.500
F 0.916 0.916 0.916
F 0.084 0.084 0.084
Nb 0.000 0.000 0.000

Entry 2:
A plane-wave DFT calculation with PBE was carried out for an optimized crystal structure of Nb3TcF.

Summary:
calculated volume = 15.8 Å³/atom
VASP energy = -8.39 eV/atom

Unit cell a=4.294 b=4.294 c=4.294 alpha=90.00 beta=90.00 gamma=90.00
Fractional coordinates of all 5 atoms:
Tc 0.500 0.500 0.500
Nb 0.500 0.000 0.000
Nb 0.000 0.500 0.000
Nb 0.000 0.000 0.500
F 0.000 0.000 0.000

Entry 3:
A plane-wave DFT calculation with PBE was carried out for an optimized crystal structure of Nb2TcF.

Summary:
calculated volume = 15.8 Å³/atom
VASP energy = -8.34 eV/atom

Unit cell a=6.386 b=6.386 c=5.480 alpha=54.37 beta=54.37 gamma=90.00
Fractional coordinates of all 8 atoms:
F 0.500 0.500 0.000
F 0.250 0.750 0.500
Tc 0.750 0.250 0.500
Tc 0.000 0.000 0.000
Nb 0.579 0.125 0.250
Nb 0.375 0.421 0.750
Nb 0.171 0.625 0.250
Nb 0.875 0.829 0.750

Entry 4:
A plane-wave DFT calculation with PBE was carried out for an optimized crystal structure of NbTcF2.

Summary:
calculated volume = 13.4 Å³/atom
VASP energy = -6.11 eV/atom

Unit cell a=4.232 b=4.232 c=4.232 alpha=60.00 beta=60.00 gamma=60.00
Fractional coordinates of all 4 atoms:
F 0.750 0.750 0.750
F 0.250 0.250 0.250
Tc 0.500 0.500 0.500
Nb 0.000 0.000 0.000

Entry 5:
A plane-wave DFT calculation with PBE was carried out for an optimized crystal structure of NbTcF2.

Summary:
calculated volume = 14.9 Å³/atom
VASP energy = -6.03 eV/atom

Unit cell a=5.001 b=5.001 c=5.929 alpha=65.06 beta=65.06 gamma=90.00
Fractional coordinates of all 8 atoms:
Tc 0.750 0.250 0.500
Tc 0.000 0.000 0.000
Nb 0.500 0.500 0.000
Nb 0.250 0.750 0.500
F 0.375 0.373 0.750
F 0.627 0.125 0.250
F 0.875 0.877 0.750
F 0.123 0.625 0.250

Entry 6:
A plane-wave DFT calculation with PBE was carried out for an optimized crystal structure of NbTcF3.

Summary:
calculated volume = 15.8 Å³/atom
VASP energy = -5.56 eV/atom

Unit cell a=4.293 b=4.293 c=4.293 alpha=90.00 beta=90.00 gamma=90.00
Fractional coordinates of all 5 atoms:
F 0.500 0.000 0.000
F 0.000 0.000 0.500
F 0.000 0.500 0.000
Tc 0.000 0.000 0.000
Nb 0.500 0.500 0.500